<w>
First-principles (PBE) data for crystalline LaPaIr at its relaxed geometry, as listed in the Alexandria database. Values from VASP.

Computed properties:
For the density, the calculation gives 12.244 Mg/m³.

```
&SYSTEM
  ibrav = 0, nat = 6, ntyp = 3
/
ATOMIC_SPECIES
La 138.91 La.upf
Pa 231.04 Pa.upf
Ir 192.22 Ir.upf
CELL_PARAMETERS angstrom
4.419 0.000 0.000
0.000 4.419 0.000
0.000 0.000 7.809
ATOMIC_POSITIONS angstrom
La 1.105 1.105 1.003
La 3.314 3.314 6.806
Pa 1.105 3.314 3.904
Pa 3.314 1.105 3.904
Ir 1.105 1.105 5.880
Ir 3.314 3.314 1.928
```

=====

<x>
First-principles (PBE) data for crystalline LaPaIr at its relaxed geometry, as listed in the Alexandria database. Values from VASP.

Computed properties:
For the density, the calculation gives 13.322 Mg/m³.

```
&SYSTEM
  ibrav = 0, nat = 6, ntyp = 3
/
ATOMIC_SPECIES
La 138.91 La.upf
Pa 231.04 Pa.upf
Ir 192.22 Ir.upf
CELL_PARAMETERS angstrom
3.604 0.000 0.000
-1.795 5.473 0.000
-0.007 -2.411 7.105
ATOMIC_POSITIONS angstrom
La 0.001 1.426 0.520
La 1.800 1.636 6.585
Pa -0.003 0.411 4.074
Pa 1.805 2.651 3.031
Ir 0.005 4.690 2.123
Ir 1.797 -1.628 4.982
```

=====

Energies relative to the minimum, kJ/mol of atoms: <w> 3.6; <x> 0.0

=====

<w>
First-principles (PBE) data for crystalline LaPaIr at its relaxed geometry, as listed in the Alexandria database. Values from VASP.

Computed properties:
For the density, the calculation gives 12.413 Mg/m³.

```
&SYSTEM
  ibrav = 0, nat = 3, ntyp = 3
/
ATOMIC_SPECIES
La 138.91 La.upf
Pa 231.04 Pa.upf
Ir 192.22 Ir.upf
CELL_PARAMETERS angstrom
-1.812 1.812 5.726
1.812 -1.812 5.726
1.812 1.812 -5.726
ATOMIC_POSITIONS angstrom
La 0.000 0.000 0.000
Pa 0.000 0.000 3.412
Ir 0.000 0.000 8.004
```

=====

<x>
First-principles (PBE) data for crystalline LaPaIr at its relaxed geometry, as listed in the Alexandria database. Values from VASP.

Computed properties:
For the density, the calculation gives 11.507 Mg/m³.

```
&SYSTEM
  ibrav = 0, nat = 3, ntyp = 3
/
ATOMIC_SPECIES
La 138.91 La.upf
Pa 231.04 Pa.upf
Ir 192.22 Ir.upf
CELL_PARAMETERS angstrom
4.566 0.000 0.000
-2.283 3.954 0.000
0.000 0.000 4.493
ATOMIC_POSITIONS angstrom
La 0.000 0.000 0.000
Pa 2.283 1.318 2.034
Ir 0.000 2.636 2.478
```

=====

Energies relative to the minimum, kJ/mol of atoms: <w> 0.0; <x> 21.7

=====

<w>
First-principles (PBE) data for crystalline LaIrPb3 at its relaxed geometry, as listed in the Alexandria database. Values from VASP.

Computed properties:
For the density, the calculation gives 10.282 Mg/m³.

```
&SYSTEM
  ibrav = 0, nat = 5, ntyp = 3
/
ATOMIC_SPECIES
La 138.91 La.upf
Ir 192.22 Ir.upf
Pb 207.20 Pb.upf
CELL_PARAMETERS angstrom
5.359 0.000 0.000
0.000 5.359 0.000
0.000 0.000 5.359
ATOMIC_POSITIONS angstrom
La 0.000 0.000 0.000
Ir 2.679 2.679 2.679
Pb 0.000 2.679 2.679
Pb 2.679 0.000 2.679
Pb 2.679 2.679 0.000
```

=====

<x>
First-principles (PBE) data for crystalline LaIrPb3 at its relaxed geometry, as listed in the Alexandria database. Values from VASP.

Computed properties:
For the density, the calculation gives 7.549 Mg/m³.

```
&SYSTEM
  ibrav = 0, nat = 5, ntyp = 3
/
ATOMIC_SPECIES
La 138.91 La.upf
Ir 192.22 Ir.upf
Pb 207.20 Pb.upf
CELL_PARAMETERS angstrom
5.940 0.000 0.000
0.000 5.940 0.000
0.000 0.000 5.940
ATOMIC_POSITIONS angstrom
La 0.000 0.000 0.000
Ir 2.970 2.970 2.970
Pb 0.000 0.000 2.970
Pb 0.000 2.970 0.000
Pb 2.970 0.000 0.000
```

=====

Energies relative to the minimum, kJ/mol of atoms: <w> 0.0; <x> 145.7

=====

<w>
First-principles (PBE) data for crystalline La2IrPd at its relaxed geometry, as listed in the Alexandria database. Values from VASP.

Computed properties:
For the density, the calculation gives 8.934 Mg/m³.

```
&SYSTEM
  ibrav = 0, nat = 4, ntyp = 3
/
ATOMIC_SPECIES
La 138.91 La.upf
Ir 192.22 Ir.upf
Pd 106.42 Pd.upf
CELL_PARAMETERS angstrom
2.119 1.224 6.887
-2.119 1.224 6.887
0.000 -2.447 6.887
ATOMIC_POSITIONS angstrom
La 0.000 0.000 5.045
La 0.000 0.000 15.615
Ir 0.000 0.000 10.330
Pd 0.000 0.000 0.000
```

=====

<x>
First-principles (PBE) data for crystalline La2IrPd at its relaxed geometry, as listed in the Alexandria database. Values from VASP.

Computed properties:
For the density, the calculation gives 9.531 Mg/m³.

```
&SYSTEM
  ibrav = 0, nat = 8, ntyp = 3
/
ATOMIC_SPECIES
La 138.91 La.upf
Ir 192.22 Ir.upf
Pd 106.42 Pd.upf
CELL_PARAMETERS angstrom
-3.901 3.901 3.300
3.901 -3.901 3.300
3.901 3.901 -3.300
ATOMIC_POSITIONS angstrom
La 5.852 1.847 -0.825
La 1.847 1.951 0.825
La -1.951 2.054 2.475
La 2.054 1.951 4.125
Ir 0.000 0.000 0.000
Ir 0.000 3.901 1.650
Pd 3.901 0.000 1.650
Pd 0.000 0.000 3.300
```

=====

<y>
First-principles (PBE) data for crystalline La2IrPd at its relaxed geometry, as listed in the Alexandria database. Values from VASP.

Computed properties:
For the density, the calculation gives 9.584 Mg/m³.

```
&SYSTEM
  ibrav = 0, nat = 8, ntyp = 3
/
ATOMIC_SPECIES
La 138.91 La.upf
Ir 192.22 Ir.upf
Pd 106.42 Pd.upf
CELL_PARAMETERS angstrom
6.041 0.000 0.000
0.000 4.379 0.000
-2.767 0.000 7.553
ATOMIC_POSITIONS angstrom
La 0.129 1.095 3.324
La -1.153 1.095 6.970
La 4.427 3.284 0.583
La 3.145 3.284 4.228
Ir -0.030 3.284 5.346
Ir 3.303 1.095 2.207
Pd 1.372 3.284 1.548
Pd 1.902 1.095 6.005
```

=====

<z>
First-principles (PBE) data for crystalline La2IrPd at its relaxed geometry, as listed in the Alexandria database. Values from VASP.

Computed properties:
For the density, the calculation gives 8.791 Mg/m³.

```
&SYSTEM
  ibrav = 0, nat = 4, ntyp = 3
/
ATOMIC_SPECIES
La 138.91 La.upf
Ir 192.22 Ir.upf
Pd 106.42 Pd.upf
CELL_PARAMETERS angstrom
2.092 1.208 7.179
-2.092 1.208 7.179
0.000 -2.416 7.179
ATOMIC_POSITIONS angstrom
La 0.000 0.000 0.000
La 0.000 0.000 3.927
Ir 0.000 0.000 12.714
Pd 0.000 0.000 9.201
```

=====

Energies relative to the minimum, kJ/mol of atoms: <w> 8.1; <x> 33.0; <y> 0.0; <z> 12.4

=====

<w>
First-principles (PBE) data for crystalline La4IrPd at its relaxed geometry, as listed in the Alexandria database. Values from VASP.

Computed properties:
For the density, the calculation gives 7.898 Mg/m³.

```
&SYSTEM
  ibrav = 0, nat = 12, ntyp = 3
/
ATOMIC_SPECIES
La 138.91 La.upf
Ir 192.22 Ir.upf
Pd 106.42 Pd.upf
CELL_PARAMETERS angstrom
6.592 0.000 0.000
0.000 7.087 0.000
-2.504 0.000 7.689
ATOMIC_POSITIONS angstrom
La -0.572 0.012 1.837
La -0.572 3.531 1.837
La 1.334 1.772 4.730
La 2.637 1.772 0.804
La 1.450 5.315 6.885
La 2.754 5.315 2.960
La 4.660 3.556 5.852
La 4.660 7.075 5.852
Ir 1.437 5.315 0.469
Ir 2.650 1.772 7.220
Pd 0.083 5.315 4.271
Pd 4.004 1.772 3.418
```

=====

<x>
First-principles (PBE) data for crystalline La4IrPd at its relaxed geometry, as listed in the Alexandria database. Values from VASP.

Computed properties:
For the density, the calculation gives 7.316 Mg/m³.

```
&SYSTEM
  ibrav = 0, nat = 12, ntyp = 3
/
ATOMIC_SPECIES
La 138.91 La.upf
Ir 192.22 Ir.upf
Pd 106.42 Pd.upf
CELL_PARAMETERS angstrom
4.321 -7.704 0.000
4.321 7.704 0.000
-4.291 0.000 5.824
ATOMIC_POSITIONS angstrom
La 0.975 3.238 1.356
La -1.094 0.668 4.334
La 1.052 -0.668 1.422
La -1.171 -3.238 4.268
La 5.522 3.238 1.556
La 3.300 0.668 4.402
La 5.445 -0.668 1.490
La 3.376 -3.238 4.468
Ir 1.103 6.363 4.368
Ir 3.248 -6.363 1.456
Pd 3.248 1.472 1.456
Pd 1.103 -1.472 4.368
```

=====

Energies relative to the minimum, kJ/mol of atoms: <w> 0.0; <x> 3.4

=====

<w>
First-principles (PBE) data for crystalline La3IrPd at its relaxed geometry, as listed in the Alexandria database. Values from VASP.

Computed properties:
For the density, the calculation gives 7.609 Mg/m³.

```
&SYSTEM
  ibrav = 0, nat = 10, ntyp = 3
/
ATOMIC_SPECIES
La 138.91 La.upf
Ir 192.22 Ir.upf
Pd 106.42 Pd.upf
CELL_PARAMETERS angstrom
7.533 -2.172 0.000
7.533 2.172 0.000
-2.771 0.000 9.541
ATOMIC_POSITIONS angstrom
La -0.401 0.000 2.915
La 3.673 0.000 3.496
La 2.612 0.000 9.531
La 9.684 0.000 0.010
La 8.622 0.000 6.045
La 12.696 0.000 6.626
Ir 0.208 0.000 7.783
Ir 12.087 0.000 1.758
Pd 3.141 0.000 6.538
Pd 9.155 0.000 3.003
```

=====

<x>
First-principles (PBE) data for crystalline La3IrPd at its relaxed geometry, as listed in the Alexandria database. Values from VASP.

Computed properties:
For the density, the calculation gives 6.901 Mg/m³.

```
&SYSTEM
  ibrav = 0, nat = 5, ntyp = 3
/
ATOMIC_SPECIES
La 138.91 La.upf
Ir 192.22 Ir.upf
Pd 106.42 Pd.upf
CELL_PARAMETERS angstrom
5.563 0.000 0.000
0.000 5.563 0.000
0.000 0.000 5.563
ATOMIC_POSITIONS angstrom
La 0.000 0.000 2.781
La 0.000 2.781 0.000
La 2.781 0.000 0.000
Ir 0.000 0.000 0.000
Pd 2.781 2.781 2.781
```

=====

Energies relative to the minimum, kJ/mol of atoms: <w> 0.0; <x> 37.6

=====

<w>
First-principles (PBE) data for crystalline LaIr2Pd2 at its relaxed geometry, as listed in the Alexandria database. Values from VASP.

Computed properties:
For the density, the calculation gives 12.761 Mg/m³.

```
&SYSTEM
  ibrav = 0, nat = 5, ntyp = 3
/
ATOMIC_SPECIES
La 138.91 La.upf
Ir 192.22 Ir.upf
Pd 106.42 Pd.upf
CELL_PARAMETERS angstrom
-1.929 1.929 6.438
1.929 -1.929 6.438
1.929 1.929 -6.438
ATOMIC_POSITIONS angstrom
La 0.000 0.000 0.000
Ir 1.929 0.000 3.219
Ir 0.000 1.929 3.219
Pd 0.000 0.000 5.102
Pd 0.000 0.000 7.775
```

=====

<x>
First-principles (PBE) data for crystalline LaIr2Pd2 at its relaxed geometry, as listed in the Alexandria database. Values from VASP.

Computed properties:
For the density, the calculation gives 13.727 Mg/m³.

```
&SYSTEM
  ibrav = 0, nat = 10, ntyp = 3
/
ATOMIC_SPECIES
La 138.91 La.upf
Ir 192.22 Ir.upf
Pd 106.42 Pd.upf
CELL_PARAMETERS angstrom
7.852 0.000 0.000
0.000 7.852 0.000
0.000 0.000 2.889
ATOMIC_POSITIONS angstrom
La 0.000 0.000 0.000
La 3.926 3.926 0.000
Ir 1.357 2.569 1.444
Ir 2.569 6.495 1.444
Ir 5.283 1.357 1.444
Ir 6.495 5.283 1.444
Pd 0.987 4.913 0.000
Pd 2.939 0.987 0.000
Pd 4.913 6.865 0.000
Pd 6.865 2.939 0.000
```

=====

Energies relative to the minimum, kJ/mol of atoms: <w> 0.0; <x> 2.9

=====

<w>
First-principles (PBE) data for crystalline LaIrPd at its relaxed geometry, as listed in the Alexandria database. Values from VASP.

Computed properties:
For the density, the calculation gives 12.326 Mg/m³.

```
&SYSTEM
  ibrav = 0, nat = 6, ntyp = 3
/
ATOMIC_SPECIES
La 138.91 La.upf
Ir 192.22 Ir.upf
Pd 106.42 Pd.upf
CELL_PARAMETERS angstrom
-2.731 2.755 3.917
2.731 -2.755 3.917
2.731 2.755 -3.917
ATOMIC_POSITIONS angstrom
La 0.000 1.378 1.006
La 2.731 1.378 2.911
Ir 2.731 0.000 0.000
Ir 0.000 0.000 3.917
Pd 1.365 1.378 -1.959
Pd 1.365 -1.378 1.959
```

=====

<x>
First-principles (PBE) data for crystalline LaIrPd at its relaxed geometry, as listed in the Alexandria database. Values from VASP.

Computed properties:
For the density, the calculation gives 11.750 Mg/m³.

```
&SYSTEM
  ibrav = 0, nat = 6, ntyp = 3
/
ATOMIC_SPECIES
La 138.91 La.upf
Ir 192.22 Ir.upf
Pd 106.42 Pd.upf
CELL_PARAMETERS angstrom
4.598 -2.842 0.000
4.598 2.842 0.000
-1.769 0.000 4.732
ATOMIC_POSITIONS angstrom
La 0.563 0.000 1.730
La 6.864 0.000 3.002
Ir 2.950 0.000 3.422
Ir 4.476 0.000 1.310
Pd 2.299 1.421 0.000
Pd 2.299 -1.421 0.000
```

=====

Energies relative to the minimum, kJ/mol of atoms: <w> 0.0; <x> 26.2